(1)
{
  "formula": "Zr3Bi2Sb2Pt4",
  "functional": "PBE-GGA",
  "state": "relaxed",
  "lattice_angstrom": [[-3.233, 3.233, 6.423], [3.233, -3.233, 6.423], [3.233, 3.233, -6.423]],
  "species": ["Zr", "Zr", "Zr", "Bi", "Bi", "Sb", "Sb", "Pt", "Pt", "Pt", "Pt"],
  "fractional_positions": [[0.000, 0.000, 0.000], [0.250, 0.750, 0.500], [0.750, 0.250, 0.500], [0.000, 0.500, 0.500], [0.500, 0.000, 0.500], [0.266, 0.266, 0.000], [0.734, 0.734, 0.000], [0.099, 0.099, 0.468], [0.369, 0.901, 0.000], [0.631, 0.631, 0.532], [0.901, 0.369, 0.000]],
  "polymorph_energy_mev_per_atom": 0.0,
  "m_tot_mub_per_cell": 0.01,
  "e_tot_ev_per_atom": -6.808
}

=====

(2)
{
  "formula": "RbZnCoSe3",
  "functional": "PBE-GGA",
  "state": "relaxed",
  "lattice_angstrom": [[1.903, -7.589, 0.000], [1.903, 7.589, 0.000], [0.000, 0.000, 10.024]],
  "species": ["Rb", "Rb", "Zn", "Zn", "Co", "Co", "Se", "Se", "Se", "Se", "Se", "Se"],
  "fractional_positions": [[0.247, 0.753, 0.750], [0.753, 0.247, 0.250], [0.462, 0.538, 0.250], [0.538, 0.462, 0.750], [0.000, 0.000, 0.000], [0.000, 0.000, 0.500], [0.062, 0.938, 0.250], [0.397, 0.603, 0.031], [0.397, 0.603, 0.469], [0.603, 0.397, 0.531], [0.603, 0.397, 0.969], [0.938, 0.062, 0.750]],
  "m_tot_mub_per_cell": 0.02,
  "e_tot_ev_per_atom": -3.811
}

=====

(3)
{
  "formula": "GaNiMoOs",
  "functional": "PBE-GGA",
  "state": "relaxed",
  "lattice_angstrom": [[6.075, 0.000, 0.000], [0.000, 6.075, 0.000], [0.000, 0.000, 6.075]],
  "species": ["Ga", "Ga", "Ga", "Ga", "Ni", "Ni", "Ni", "Ni", "Mo", "Mo", "Mo", "Mo", "Os", "Os", "Os", "Os"],
  "fractional_positions": [[0.000, 0.000, 0.000], [0.000, 0.500, 0.500], [0.500, 0.000, 0.500], [0.500, 0.500, 0.000], [0.250, 0.250, 0.250], [0.250, 0.750, 0.750], [0.750, 0.250, 0.750], [0.750, 0.750, 0.250], [0.250, 0.250, 0.750], [0.250, 0.750, 0.250], [0.750, 0.250, 0.250], [0.750, 0.750, 0.750], [0.000, 0.000, 0.500], [0.000, 0.500, 0.000], [0.500, 0.000, 0.000], [0.500, 0.500, 0.500]],
  "m_tot_mub_per_cell": 1.98,
  "e_tot_ev_per_atom": -7.582
}

=====

(4)
{
  "formula": "KPrSe2O8",
  "functional": "PBE-GGA",
  "state": "relaxed",
  "lattice_angstrom": [[8.667, 0.000, 0.000], [0.000, 7.329, 0.000], [-0.264, 0.000, 11.050]],
  "species": ["K", "K", "K", "K", "Pr", "Pr", "Pr", "Pr", "Se", "Se", "Se", "Se", "Se", "Se", "Se", "Se", "O", "O", "O", "O", "O", "O", "O", "O", "O", "O", "O", "O", "O", "O", "O", "O", "O", "O", "O", "O", "O", "O", "O", "O", "O", "O", "O", "O", "O", "O", "O", "O"],
  "fractional_positions": [[0.070, 0.143, 0.340], [0.070, 0.357, 0.840], [0.930, 0.643, 0.160], [0.930, 0.857, 0.660], [0.442, 0.665, 0.653], [0.442, 0.835, 0.153], [0.558, 0.165, 0.847], [0.558, 0.335, 0.347], [0.211, 0.659, 0.412], [0.211, 0.841, 0.912], [0.303, 0.162, 0.607], [0.303, 0.338, 0.107], [0.697, 0.662, 0.893], [0.697, 0.838, 0.393], [0.789, 0.159, 0.088], [0.789, 0.341, 0.588], [0.079, 0.513, 0.365], [0.079, 0.987, 0.865], [0.115, 0.148, 0.602], [0.115, 0.352, 0.102], [0.187, 0.743, 0.047], [0.187, 0.757, 0.547], [0.242, 0.678, 0.809], [0.242, 0.822, 0.309], [0.359, 0.158, 0.195], [0.359, 0.342, 0.695], [0.374, 0.161, 0.469], [0.374, 0.339, 0.969], [0.380, 0.551, 0.445], [0.380, 0.949, 0.945], [0.393, 0.503, 0.190], [0.393, 0.997, 0.690], [0.607, 0.003, 0.310], [0.607, 0.497, 0.810], [0.620, 0.051, 0.055], [0.620, 0.449, 0.555], [0.626, 0.661, 0.031], [0.626, 0.839, 0.531], [0.641, 0.658, 0.305], [0.641, 0.842, 0.805], [0.758, 0.178, 0.691], [0.758, 0.322, 0.191], [0.813, 0.243, 0.453], [0.813, 0.257, 0.953], [0.885, 0.648, 0.898], [0.885, 0.852, 0.398], [0.921, 0.013, 0.135], [0.921, 0.487, 0.635]],
  "polymorph_energy_mev_per_atom": 0.0,
  "m_tot_mub_per_cell": 0.01,
  "e_tot_ev_per_atom": -5.906
}

=====

(5)
{
  "formula": "Cs2TlCuF6",
  "functional": "PBE-GGA",
  "state": "relaxed",
  "lattice_angstrom": [[6.131, 0.000, 0.000], [0.000, 6.132, 0.000], [0.000, 0.002, 8.670]],
  "species": ["Cs", "Cs", "Cs", "Cs", "Tl", "Tl", "Cu", "Cu", "F", "F", "F", "F", "F", "F", "F", "F", "F", "F", "F", "F"],
  "fractional_positions": [[0.000, 0.000, 0.250], [0.000, 0.000, 0.750], [0.500, 0.500, 0.250], [0.500, 0.500, 0.750], [0.000, 0.500, 0.000], [0.500, 0.000, 0.500], [0.000, 0.500, 0.500], [0.500, 0.000, 0.000], [0.001, 0.499, 0.266], [0.231, 0.738, 0.500], [0.238, 0.270, 0.501], [0.264, 0.232, 0.000], [0.267, 0.764, 0.000], [0.499, 0.000, 0.234], [0.501, 0.000, 0.766], [0.733, 0.236, 0.000], [0.736, 0.768, 0.000], [0.762, 0.730, 0.499], [0.769, 0.262, 0.500], [0.999, 0.501, 0.734]],
  "polymorph_energy_mev_per_atom": 12.6,
  "e_tot_ev_per_atom": -3.992
}

=====

(6)
{
  "formula": "SnAsW",
  "functional": "PBE-GGA",
  "state": "relaxed",
  "lattice_angstrom": [[6.329, 0.000, 0.000], [0.000, 6.329, 0.000], [0.000, 0.000, 6.329]],
  "species": ["Sn", "Sn", "Sn", "Sn", "As", "As", "As", "As", "W", "W", "W", "W"],
  "fractional_positions": [[0.000, 0.000, 0.000], [0.000, 0.500, 0.500], [0.500, 0.000, 0.500], [0.500, 0.500, 0.000], [0.250, 0.250, 0.250], [0.250, 0.750, 0.750], [0.750, 0.250, 0.750], [0.750, 0.750, 0.250], [0.000, 0.000, 0.500], [0.000, 0.500, 0.000], [0.500, 0.000, 0.000], [0.500, 0.500, 0.500]],
  "polymorph_energy_mev_per_atom": 272.3,
  "m_tot_mub_per_cell": 3.52,
  "e_tot_ev_per_atom": -6.183
}

=====

(7)
{
  "formula": "TaNiHgAs",
  "functional": "PBE-GGA",
  "state": "relaxed",
  "lattice_angstrom": [[6.435, 0.000, 0.000], [0.000, 6.435, 0.000], [0.000, 0.000, 6.435]],
  "species": ["Ta", "Ta", "Ta", "Ta", "Ni", "Ni", "Ni", "Ni", "Hg", "Hg", "Hg", "Hg", "As", "As", "As", "As"],
  "fractional_positions": [[0.000, 0.000, 0.000], [0.000, 0.500, 0.500], [0.500, 0.000, 0.500], [0.500, 0.500, 0.000], [0.000, 0.000, 0.500], [0.000, 0.500, 0.000], [0.500, 0.000, 0.000], [0.500, 0.500, 0.500], [0.250, 0.250, 0.750], [0.250, 0.750, 0.250], [0.750, 0.250, 0.250], [0.750, 0.750, 0.750], [0.250, 0.250, 0.250], [0.250, 0.750, 0.750], [0.750, 0.250, 0.750], [0.750, 0.750, 0.250]],
  "polymorph_energy_mev_per_atom": 0.0,
  "m_tot_mub_per_cell": 0.02,
  "e_tot_ev_per_atom": -5.251
}

=====

(8)
{
  "formula": "Dy3Fe",
  "functional": "PBE-GGA",
  "state": "relaxed",
  "lattice_angstrom": [[6.767, 0.000, 0.000], [-3.384, 5.861, 0.000], [0.000, 0.000, 5.112]],
  "species": ["Dy", "Dy", "Dy", "Dy", "Dy", "Dy", "Fe", "Fe"],
  "fractional_positions": [[0.175, 0.351, 0.250], [0.175, 0.825, 0.250], [0.351, 0.175, 0.750], [0.649, 0.825, 0.250], [0.825, 0.175, 0.750], [0.825, 0.649, 0.750], [0.333, 0.667, 0.750], [0.667, 0.333, 0.250]],
  "m_tot_mub_per_cell": 3.92,
  "e_tot_ev_per_atom": -5.281,
  "ef_ev_per_atom": 0.25
}

=====

(9)
{
  "formula": "YFeTcSb",
  "functional": "PBE-GGA",
  "state": "relaxed",
  "lattice_angstrom": [[6.525, 0.000, 0.000], [0.000, 6.525, 0.000], [0.000, 0.000, 6.525]],
  "species": ["Y", "Y", "Y", "Y", "Fe", "Fe", "Fe", "Fe", "Tc", "Tc", "Tc", "Tc", "Sb", "Sb", "Sb", "Sb"],
  "fractional_positions": [[0.000, 0.000, 0.000], [0.000, 0.500, 0.500], [0.500, 0.000, 0.500], [0.500, 0.500, 0.000], [0.250, 0.250, 0.750], [0.250, 0.750, 0.250], [0.750, 0.250, 0.250], [0.750, 0.750, 0.750], [0.250, 0.250, 0.250], [0.250, 0.750, 0.750], [0.750, 0.250, 0.750], [0.750, 0.750, 0.250], [0.000, 0.000, 0.500], [0.000, 0.500, 0.000], [0.500, 0.000, 0.000], [0.500, 0.500, 0.500]],
  "polymorph_energy_mev_per_atom": 0.0,
  "m_tot_mub_per_cell": 3.86,
  "e_tot_ev_per_atom": -7.301
}

=====

(10)
{
  "formula": "TmBiNO",
  "functional": "PBE-GGA",
  "state": "relaxed",
  "lattice_angstrom": [[3.653, 0.000, 0.000], [0.000, 7.070, 0.000], [0.000, 0.000, 5.730]],
  "species": ["Tm", "Tm", "Bi", "Bi", "N", "N", "O", "O"],
  "fractional_positions": [[0.000, 0.138, 0.000], [0.000, 0.862, 0.500], [0.500, 0.361, 0.471], [0.500, 0.639, 0.971], [0.000, 0.165, 0.395], [0.000, 0.835, 0.895], [0.500, 0.204, 0.837], [0.500, 0.796, 0.337]],
  "polymorph_energy_mev_per_atom": 134.6,
  "m_tot_mub_per_cell": 0.01,
  "e_tot_ev_per_atom": -6.664
}

=====

(11)
{
  "formula": "NiHg2S4",
  "functional": "PBE-GGA",
  "state": "relaxed",
  "lattice_angstrom": [[5.298, 0.000, 0.000], [0.000, 5.298, 0.000], [0.000, 0.000, 11.105]],
  "species": ["Ni", "Ni", "Hg", "Hg", "Hg", "Hg", "S", "S", "S", "S", "S", "S", "S", "S"],
  "fractional_positions": [[0.000, 0.000, 0.000], [0.500, 0.500, 0.500], [0.000, 0.000, 0.500], [0.000, 0.500, 0.250], [0.500, 0.000, 0.750], [0.500, 0.500, 0.000], [0.168, 0.255, 0.872], [0.245, 0.668, 0.628], [0.255, 0.832, 0.128], [0.332, 0.245, 0.372], [0.668, 0.755, 0.372], [0.745, 0.168, 0.128], [0.755, 0.332, 0.628], [0.832, 0.745, 0.872]],
  "m_tot_mub_per_cell": 0.01,
  "e_tot_ev_per_atom": -3.174
}

=====

(12)
{
  "formula": "NpUIrPd",
  "functional": "PBE-GGA",
  "state": "relaxed",
  "lattice_angstrom": [[6.595, 0.000, 0.000], [0.000, 6.595, 0.000], [0.000, 0.000, 6.595]],
  "species": ["Np", "Np", "Np", "Np", "U", "U", "U", "U", "Ir", "Ir", "Ir", "Ir", "Pd", "Pd", "Pd", "Pd"],
  "fractional_positions": [[0.000, 0.000, 0.000], [0.000, 0.500, 0.500], [0.500, 0.000, 0.500], [0.500, 0.500, 0.000], [0.250, 0.250, 0.750], [0.250, 0.750, 0.250], [0.750, 0.250, 0.250], [0.750, 0.750, 0.750], [0.000, 0.000, 0.500], [0.000, 0.500, 0.000], [0.500, 0.000, 0.000], [0.500, 0.500, 0.500], [0.250, 0.250, 0.250], [0.250, 0.750, 0.750], [0.750, 0.250, 0.750], [0.750, 0.750, 0.250]],
  "m_tot_mub_per_cell": 16.07,
  "e_tot_ev_per_atom": -10.061,
  "ef_ev_per_atom": -0.54
}